# GdCoNO (PBE+U, optimized geometry)
# **Energy**: -6.9516 eV per atom
# **Energy relative to the lowest polymorph listed for this composition**: 0.58 eV/f.u.
data_GdCoNO
_chemical_formula_sum 'Gd2 Co2 N2 O2'
_cell_length_a 4.8213
_cell_length_b 4.8213
_cell_length_c 4.3866
_cell_angle_alpha 90.00
_cell_angle_beta 90.00
_cell_angle_gamma 90.00
_space_group_name_H-M_alt 'P 4/n m m'
_space_group_IT_number 129
loop_
_space_group_symop_operation_xyz
'x,y,z'
'-x,-y,-z'
'-y+1/2,x,z'
'y+1/2,-x,-z'
'-x+1/2,-y+1/2,z'
'x+1/2,y+1/2,-z'
'y,-x+1/2,z'
'-y,x+1/2,-z'
'x+1/2,-y,-z'
'-x+1/2,y,z'
'-y,-x,-z'
'y,x,z'
'-x,y+1/2,-z'
'x,-y+1/2,z'
'y+1/2,x+1/2,-z'
'-y+1/2,-x+1/2,z'
loop_
_atom_site_label
_atom_site_type_symbol
_atom_site_fract_x
_atom_site_fract_y
_atom_site_fract_z
Gd1 Gd 0.2500 0.7500 0.0000
Co1 Co 0.2500 0.2500 0.4993
N1 N 0.2500 0.2500 0.9992
O1 O 0.2500 0.7500 0.5000